Record 1
DFT (PBE) results for crystalline Tb2Pr at its relaxed geometry.

Cell: 6.1213 3.6724 17.7828 Å, 90.00 90.00 90.00°
Atoms (fractional coordinates):
Tb 0.0969 0.2500 0.1752
Tb 0.0979 0.7500 0.3414
Tb 0.4021 0.2500 0.8414
Tb 0.4031 0.7500 0.6752
Tb 0.5969 0.2500 0.3248
Tb 0.5979 0.7500 0.1586
Tb 0.9021 0.2500 0.6586
Tb 0.9031 0.7500 0.8248
Pr 0.2455 0.7500 0.0059
Pr 0.2545 0.2500 0.5059
Pr 0.7455 0.7500 0.4941
Pr 0.7545 0.2500 0.9941

Energy relative to the elements, eV/atom: 0.046
SG: Pnma, No. 62
Excess energy over the best structure of this formula in the dataset, kJ/mol of atoms: 4.57



Record 2
DFT (PBE) results for crystalline ReAs2Rh at its relaxed geometry.

Cell: 6.7922 6.7922 6.7922 Å, 132.03 132.03 70.19°
Atoms (fractional coordinates):
Re 0.0000 0.0000 0.0000
Re 0.7500 0.2500 0.5000
As 0.1230 0.6250 0.9980
As 0.3750 0.3730 0.4980
As 0.6270 0.1250 0.0020
As 0.8750 0.8770 0.5020
Rh 0.2500 0.7500 0.5000
Rh 0.5000 0.5000 0.0000

Energy relative to the elements, eV/atom: 0.269
SG: I-42d, No. 122
Excess energy over the best structure of this formula in the dataset, kJ/mol of atoms: 31.68



Record 3
DFT (PBE) results for crystalline TlPd6O8 at its relaxed geometry.

Cell: 6.8801 6.8801 6.8801 Å, 60.00 60.00 60.00°
Atoms (fractional coordinates):
Tl 0.0000 0.0000 0.0000
Pd 0.0000 0.0000 0.5000
Pd 0.0000 0.5000 0.0000
Pd 0.0000 0.5000 0.5000
Pd 0.5000 0.0000 0.0000
Pd 0.5000 0.0000 0.5000
Pd 0.5000 0.5000 0.0000
O 0.1415 0.1415 0.1415
O 0.1415 0.1415 0.5754
O 0.1415 0.5754 0.1415
O 0.4246 0.8585 0.8585
O 0.5754 0.1415 0.1415
O 0.8585 0.4246 0.8585
O 0.8585 0.8585 0.4246
O 0.8585 0.8585 0.8585

SG: Fm-3m, No. 225
Calculated total energy, eV/atom: -5.39



Record 4
DFT (PBE) results for crystalline Ac7CePb4 at its relaxed geometry.

Cell: 8.8509 8.8509 12.1231 Å, 124.32 124.32 40.00°
Atoms (fractional coordinates):
Ac 0.0000 0.0000 0.0000
Ac 0.1502 0.1502 0.5725
Ac 0.2895 0.2895 0.1290
Ac 0.4248 0.4248 0.6779
Ac 0.5752 0.5752 0.3221
Ac 0.7105 0.7105 0.8710
Ac 0.8498 0.8498 0.4275
Ce 0.5000 0.5000 0.0000
Pb 0.0753 0.0753 0.7776
Pb 0.2136 0.2136 0.3380
Pb 0.7864 0.7864 0.6620
Pb 0.9247 0.9247 0.2224

Energy relative to the elements, eV/atom: -0.082
SG: C2/m, No. 12



Record 5
DFT (PBE) results for crystalline Na2SnPb at its relaxed geometry.

Cell: 3.7858 3.7858 7.6142 Å, 90.00 90.00 90.00°
Atoms (fractional coordinates):
Na 0.0000 0.0000 0.2429
Na 0.0000 0.0000 0.7571
Sn 0.5000 0.5000 0.0000
Pb 0.5000 0.5000 0.5000

Energy relative to the elements, eV/atom: -0.111
SG: P4/mmm, No. 123
Excess energy over the best structure of this formula in the dataset, kJ/mol of atoms: 3.63



Record 6
DFT (PBE) results for crystalline YTa2MoC4 at its relaxed geometry.

Cell: 5.9216 5.9216 11.3679 Å, 90.00 90.00 148.46°
Atoms (fractional coordinates):
Y 0.1132 0.8868 0.7500
Y 0.8868 0.1132 0.2500
Ta 0.3708 0.6292 0.5340
Ta 0.3708 0.6292 0.9660
Ta 0.6292 0.3708 0.0340
Ta 0.6292 0.3708 0.4660
Mo 0.1538 0.8462 0.2500
Mo 0.8462 0.1538 0.7500
C 0.0000 0.0000 0.0000
C 0.0000 0.0000 0.5000
C 0.2619 0.7381 0.1127
C 0.2619 0.7381 0.3873
C 0.4532 0.5468 0.7500
C 0.5468 0.4532 0.2500
C 0.7381 0.2619 0.6127
C 0.7381 0.2619 0.8873

Energy relative to the elements, eV/atom: -0.257
SG: Cmcm, No. 63



Record 7
DFT (PBE) results for crystalline TaNi2Br at its relaxed geometry.

Cell: 4.4158 4.4158 5.5235 Å, 93.22 93.22 43.14°
Atoms (fractional coordinates):
Ta 0.0000 0.0000 0.0000
Ni 0.2993 0.2993 0.1524
Ni 0.7007 0.7007 0.8476
Br 0.5000 0.5000 0.5000

SG: C2/m, No. 12
Excess energy over the best structure of this formula in the dataset, kJ/mol of atoms: 25.87



Record 8
DFT (PBE) results for crystalline GaSiNi2 at its relaxed geometry.

Cell: 4.9800 3.9533 5.0026 Å, 90.00 105.09 90.00°
Atoms (fractional coordinates):
Ga 0.1123 0.2500 0.3879
Ga 0.8877 0.7500 0.6121
Si 0.3620 0.7500 0.1380
Si 0.6380 0.2500 0.8620
Ni 0.1599 0.2500 0.9068
Ni 0.4071 0.7500 0.6603
Ni 0.5929 0.2500 0.3397
Ni 0.8401 0.7500 0.0932

SG: P2_1/m, No. 11
Calculated total energy, eV/atom: -5.37



Record 9
DFT (PBE) results for crystalline SmHo2AlAu4 at its relaxed geometry.

Cell: 8.8456 8.8456 8.8456 Å, 32.40 32.40 32.40°
Atoms (fractional coordinates):
Sm 0.0000 0.0000 0.0000
Ho 0.2413 0.2413 0.2413
Ho 0.7587 0.7587 0.7587
Al 0.5000 0.5000 0.5000
Au 0.1225 0.1225 0.1225
Au 0.3891 0.3891 0.3891
Au 0.6109 0.6109 0.6109
Au 0.8775 0.8775 0.8775

Energy relative to the elements, eV/atom: -0.749
SG: R-3m, No. 166



Record 10
DFT (PBE) results for crystalline LiCu5Ni2 at its relaxed geometry.

Cell: 6.6384 6.6384 6.6384 Å, 123.66 123.66 83.77°
Atoms (fractional coordinates):
Li 0.2500 0.2500 0.0000
Li 0.7500 0.7500 0.0000
Cu 0.0000 0.0000 0.0000
Cu 0.0135 0.5135 0.2014
Cu 0.1879 0.9865 0.5000
Cu 0.3121 0.8121 0.7986
Cu 0.4865 0.6879 0.5000
Cu 0.5000 0.5000 0.0000
Cu 0.5135 0.3121 0.5000
Cu 0.6879 0.1879 0.2014
Cu 0.8121 0.0135 0.5000
Cu 0.9865 0.4865 0.7986
Ni 0.1423 0.3577 0.5000
Ni 0.3577 0.8577 0.2153
Ni 0.6423 0.1423 0.7847
Ni 0.8577 0.6423 0.5000

Energy relative to the elements, eV/atom: 0.128
SG: I4/mcm, No. 140
Excess energy over the best structure of this formula in the dataset, kJ/mol of atoms: 3.59



no.,DOS(E_F) (states/eV per atom),magnetization (μB per formula unit)
1,1.5260,0.000
2,0.7055,0.000
3,0.9359,0.000
4,1.4399,2.954
5,0.5895,0.000
6,0.2230,0.000
7,0.6799,0.000
8,0.2265,0.000
9,0.4314,0.000
10,0.3093,0.000